CaLaFe2Au | PBE-GGA | relaxed

Values from the calculation:
Crystal system: tetragonal
ρ: 6.7 g/cm3
Final energy: -22.52 eV for the cell shown
Energy of formation from the pure elements: 0.922 eV per atom
SG: P4/mmm, No. 123

POSCAR file:
```
CaLaFe2Au
1.0
4.9152 0.0000 0.0000
0.0000 4.9152 0.0000
0.0000 0.0000 5.0367
Ca La Fe Au
1 1 2 1
Direct
0.0000 0.0000 0.0000 Ca
0.5000 0.5000 0.0000 La
0.0000 0.5000 0.5000 Fe
0.5000 0.0000 0.5000 Fe
0.0000 0.0000 0.5000 Au
```

=====

LaSm2Co | PBE-GGA | relaxed

Values from the calculation:
Crystal system: orthorhombic
ρ: 7.3 g/cm3
Final energy: -43.58 eV for the cell shown
E above lowest polymorph: 28 meV/atom
Energy of formation from the pure elements: -0.080 eV per atom
SG: Cmcm, No. 63

POSCAR file:
```
LaSm2Co
1.0
1.8708 -6.1494 0.0000
1.8708 6.1494 0.0000
0.0000 0.0000 9.8873
La Sm Co
2 4 2
Direct
0.0923 0.9077 0.7500 La
0.9077 0.0923 0.2500 La
0.3567 0.6433 0.5740 Sm
0.3567 0.6433 0.9260 Sm
0.6433 0.3567 0.0740 Sm
0.6433 0.3567 0.4260 Sm
0.2476 0.7524 0.2500 Co
0.7524 0.2476 0.7500 Co
```

=====

Sc2InPt | PBE-GGA | relaxed

Values from the calculation:
Crystal system: orthorhombic
ρ: 8.0 g/cm3
Final energy: -24.31 eV for the cell shown
Energy of formation from the pure elements: -0.718 eV per atom
SG: Imm2, No. 44

POSCAR file:
```
Sc2InPt
1.0
-1.7067 2.3596 5.1569
1.7067 -2.3596 5.1569
1.7067 2.3596 -5.1569
Sc In Pt
2 1 1
Direct
0.0000 0.0000 0.0000 Sc
0.7115 0.2115 0.5000 Sc
0.2817 0.7817 0.5000 In
0.5064 0.5064 0.0000 Pt
```